Entry from Alexandria: TiInAg2 after structural relaxation (PBE).

The structure in POSCAR format:
```
TiInAg2
1.0
-2.008 0.477 -2.071
-2.580 -1.125 0.789
-2.314 8.367 4.224
Ti In Ag
1 1 2
direct
0.670 0.670 0.000
0.503 0.503 0.500
0.160 0.160 0.236
0.167 0.167 0.764
```

## Properties
Its symmetry is Cm. Its formation energy is 0.118 eV/atom.